Version A
Entry from the Alexandria database: an optimized crystal structure of Cu3PtW (GGA-PBE).

Geometry as POSCAR:
```
Cu3PtW
1.0
4.605 0.000 0.000
0.000 4.605 0.000
0.000 0.000 4.605
Cu Pt W
3 1 1
Cartesian
0.000 0.000 2.303 Cu
0.000 2.303 0.000 Cu
2.303 0.000 0.000 Cu
0.000 0.000 0.000 Pt
2.303 2.303 2.303 W
```

Summary:
magnetic moment = 4.06 μB/f.u.
N(E_F) = 3.9 states/eV/cell
SG = Pm-3m (221)


Version B
Entry from the Alexandria database: an optimized crystal structure of Cu3PtW (GGA-PBE).

Geometry as POSCAR:
```
Cu3PtW
1.0
4.604 0.000 0.000
0.000 4.604 0.000
0.000 0.000 4.604
Cu Pt W
3 1 1
Cartesian
0.000 0.000 2.302 Cu
0.000 2.302 0.000 Cu
2.302 0.000 0.000 Cu
2.302 2.302 2.302 Pt
0.000 0.000 0.000 W
```

Summary:
magnetic moment = 0.00 μB/f.u.
N(E_F) = 4.4 states/eV/cell
SG = Pm-3m (221)


We find version A to be the most stable, with the next structure 21.3 kJ/mol of atoms higher.


Version A
Entry from the Alexandria database: an optimized crystal structure of YCu2Pt (GGA-PBE).

Geometry as POSCAR:
```
YCu2Pt
1.0
4.016 0.000 0.000
0.000 4.016 0.000
0.000 0.000 4.237
Y Cu Pt
1 2 1
Cartesian
0.000 0.000 0.000 Y
0.000 2.008 2.119 Cu
2.008 0.000 2.119 Cu
2.008 2.008 0.000 Pt
```

Summary:
magnetic moment = 0.00 μB/f.u.
N(E_F) = 2.3 states/eV/cell
SG = P4/mmm (123)


Version B
Entry from the Alexandria database: an optimized crystal structure of YCu2Pt (GGA-PBE).

Geometry as POSCAR:
```
YCu2Pt
1.0
0.000 3.219 3.219
3.219 0.000 3.219
3.219 3.219 0.000
Y Cu Pt
1 2 1
Cartesian
0.000 0.000 0.000 Y
1.610 1.610 1.610 Cu
4.829 4.829 4.829 Cu
3.219 3.219 3.219 Pt
```

Summary:
magnetic moment = 0.00 μB/f.u.
N(E_F) = 2.2 states/eV/cell
SG = Fm-3m (225)


Version C
Entry from the Alexandria database: an optimized crystal structure of YCu2Pt (GGA-PBE).

Geometry as POSCAR:
```
YCu2Pt
1.0
3.691 -2.127 0.000
3.691 2.127 0.000
-2.448 0.000 4.607
Y Cu Pt
1 2 1
Cartesian
0.000 0.000 0.000 Y
2.467 0.000 2.111 Cu
4.926 0.000 1.773 Cu
0.008 0.000 2.940 Pt
```

Summary:
magnetic moment = 0.00 μB/f.u.
N(E_F) = 1.5 states/eV/cell
SG = Cm (8)


Version D
Entry from the Alexandria database: an optimized crystal structure of YCu2Pt (GGA-PBE).

Geometry as POSCAR:
```
YCu2Pt
1.0
-2.027 2.027 4.054
2.027 -2.027 4.054
2.027 2.027 -4.054
Y Cu Pt
1 2 1
Cartesian
0.000 0.000 0.000 Y
2.027 0.000 2.027 Cu
0.000 2.027 2.027 Cu
0.000 0.000 4.054 Pt
```

Summary:
magnetic moment = 0.00 μB/f.u.
N(E_F) = 1.4 states/eV/cell
SG = I4/mmm (139)


We find version C to be the most stable, with the next structure 1.0 kJ/mol of atoms higher.


Version A
Entry from the Alexandria database: an optimized crystal structure of YCu2Pt (GGA-PBE).

Geometry as POSCAR:
```
YCu2Pt
1.0
-2.020 2.020 4.127
2.020 -2.020 4.127
2.020 2.020 -4.127
Y Cu Pt
1 2 1
Cartesian
0.000 0.000 0.000 Y
2.020 0.000 2.063 Cu
0.000 0.000 4.127 Cu
0.000 2.020 2.063 Pt
```

Summary:
magnetic moment = 0.00 μB/f.u.
N(E_F) = 2.0 states/eV/cell
SG = I-4m2 (119)


Version B
Entry from the Alexandria database: an optimized crystal structure of YCu2Pt (GGA-PBE).

Geometry as POSCAR:
```
YCu2Pt
1.0
3.536 0.000 0.000
0.000 4.490 0.000
0.000 0.000 4.783
Y Cu Pt
1 2 1
Cartesian
0.000 0.000 0.000 Y
1.768 2.245 1.182 Cu
1.768 2.245 3.601 Cu
1.768 0.000 2.392 Pt
```

Summary:
magnetic moment = 0.00 μB/f.u.
N(E_F) = 2.2 states/eV/cell
SG = Pmmm (47)


We find version A to be the most stable, with the next structure 5.9 kJ/mol of atoms higher.


Version A
Entry from the Alexandria database: an optimized crystal structure of YCu2Pt (GGA-PBE).

Geometry as POSCAR:
```
YCu2Pt
1.0
-2.049 2.049 9.201
2.049 -2.049 9.201
2.049 2.049 -9.201
Y Cu Pt
2 4 2
Cartesian
0.000 0.000 0.000 Y
0.000 2.049 4.600 Y
1.025 -0.569 6.900 Cu
1.480 1.025 2.300 Cu
1.025 2.619 -2.300 Cu
0.569 1.025 11.501 Cu
2.049 0.000 4.600 Pt
0.000 0.000 9.201 Pt
```

Summary:
magnetic moment = 0.00 μB/f.u.
N(E_F) = 3.8 states/eV/cell
SG = I-42d (122)


Version B
Entry from the Alexandria database: an optimized crystal structure of YCu2Pt (GGA-PBE).

Geometry as POSCAR:
```
YCu2Pt
1.0
0.000 3.262 3.262
3.262 0.000 3.262
3.262 3.262 0.000
Y Cu Pt
1 2 1
Cartesian
0.000 0.000 0.000 Y
3.262 3.262 3.262 Cu
4.893 4.893 4.893 Cu
1.631 1.631 1.631 Pt
```

Summary:
magnetic moment = 0.00 μB/f.u.
N(E_F) = 1.2 states/eV/cell
SG = F-43m (216)


We find version B to be the most stable, with the next structure 11.7 kJ/mol of atoms higher.


Version A
Entry from the Alexandria database: an optimized crystal structure of YCu2Pt (GGA-PBE).

Geometry as POSCAR:
```
YCu2Pt
1.0
1.488 0.859 8.940
-1.488 0.859 8.940
0.000 -1.718 8.940
Y Cu Pt
1 2 1
Cartesian
0.000 0.000 0.000 Y
0.000 0.000 6.514 Cu
0.000 0.000 20.305 Cu
0.000 0.000 13.410 Pt
```

Summary:
magnetic moment = 0.00 μB/f.u.
N(E_F) = 3.0 states/eV/cell
SG = R-3m (166)


Version B
Entry from the Alexandria database: an optimized crystal structure of YCu2Pt (GGA-PBE).

Geometry as POSCAR:
```
YCu2Pt
1.0
3.414 0.000 0.000
0.000 3.414 0.000
0.000 0.000 5.960
Y Cu Pt
1 2 1
Cartesian
0.000 0.000 0.000 Y
0.000 0.000 2.932 Cu
1.707 1.707 1.846 Cu
1.707 1.707 4.383 Pt
```

Summary:
magnetic moment = 0.00 μB/f.u.
N(E_F) = 1.8 states/eV/cell
SG = P4mm (99)


We find version B to be the most stable, with the next structure 57.8 kJ/mol of atoms higher.


Version A
Entry from the Alexandria database: an optimized crystal structure of YCuPt3 (GGA-PBE).

Geometry as POSCAR:
```
YCuPt3
1.0
3.158 1.823 8.024
-3.158 1.823 8.024
0.000 -3.647 8.024
Y Cu Pt
3 3 9
Cartesian
0.000 0.000 0.000 Y
0.000 0.000 5.514 Y
0.000 0.000 18.558 Y
0.000 0.000 9.645 Cu
0.000 0.000 12.036 Cu
0.000 0.000 14.427 Cu
-1.579 -0.912 8.024 Pt
-1.858 -1.073 13.247 Pt
0.000 -2.146 10.826 Pt
-1.858 1.073 10.826 Pt
-1.579 0.912 16.048 Pt
0.000 1.823 8.024 Pt
1.858 -1.073 13.247 Pt
0.000 2.146 13.247 Pt
1.858 1.073 10.826 Pt
```

Summary:
magnetic moment = 0.00 μB/f.u.
N(E_F) = 6.9 states/eV/cell
SG = R-3m (166)


Version B
Entry from the Alexandria database: an optimized crystal structure of YCuPt3 (GGA-PBE).

Geometry as POSCAR:
```
YCuPt3
1.0
5.095 0.000 0.000
0.000 5.095 0.000
0.000 0.000 5.095
Y Cu Pt
1 1 3
Cartesian
0.000 0.000 0.000 Y
2.548 2.548 2.548 Cu
0.000 0.000 2.548 Pt
0.000 2.548 0.000 Pt
2.548 0.000 0.000 Pt
```

Summary:
magnetic moment = 0.00 μB/f.u.
N(E_F) = 2.9 states/eV/cell
SG = Pm-3m (221)


Version C
Entry from the Alexandria database: an optimized crystal structure of YCuPt3 (GGA-PBE).

Geometry as POSCAR:
```
YCuPt3
1.0
4.626 0.000 0.000
0.000 4.626 0.000
0.000 0.000 4.626
Y Cu Pt
1 1 3
Cartesian
0.000 0.000 0.000 Y
2.313 2.313 2.313 Cu
0.000 2.313 2.313 Pt
2.313 0.000 2.313 Pt
2.313 2.313 0.000 Pt
```

Summary:
magnetic moment = 0.00 μB/f.u.
N(E_F) = 1.7 states/eV/cell
SG = Pm-3m (221)


Version D
Entry from the Alexandria database: an optimized crystal structure of YCuPt3 (GGA-PBE).

Geometry as POSCAR:
```
YCuPt3
1.0
4.478 0.000 0.000
0.000 6.439 0.000
0.000 0.000 6.155
Y Cu Pt
2 2 6
Cartesian
1.119 1.610 1.458 Y
3.358 4.829 4.697 Y
1.119 4.829 2.759 Cu
3.358 1.610 3.396 Cu
1.119 0.313 4.448 Pt
1.119 2.907 4.448 Pt
1.119 4.829 0.305 Pt
3.358 1.610 5.850 Pt
3.358 3.533 1.706 Pt
3.358 6.126 1.706 Pt
```

Summary:
magnetic moment = 0.00 μB/f.u.
N(E_F) = 8.3 states/eV/cell
SG = Pmmn (59)


We find version D to be the most stable, with the next structure 6.2 kJ/mol of atoms higher.


Version A
Entry from the Alexandria database: an optimized crystal structure of Y4Cu2Pt (GGA-PBE).

Geometry as POSCAR:
```
Y4Cu2Pt
1.0
-2.713 2.713 6.751
2.713 -2.713 6.751
2.713 2.713 -6.751
Y Cu Pt
4 2 1
Cartesian
2.713 0.000 0.000 Y
0.000 0.000 2.768 Y
0.000 2.713 0.000 Y
0.000 0.000 10.735 Y
0.000 0.000 5.519 Cu
0.000 0.000 7.984 Cu
0.000 0.000 0.000 Pt
```

Summary:
magnetic moment = 0.00 μB/f.u.
N(E_F) = 9.5 states/eV/cell
SG = I4/mmm (139)


Version B
Entry from the Alexandria database: an optimized crystal structure of Y4Cu2Pt (GGA-PBE).

Geometry as POSCAR:
```
Y4Cu2Pt
1.0
2.454 1.417 8.018
-2.454 1.417 8.018
0.000 -2.834 8.018
Y Cu Pt
4 2 1
Cartesian
0.000 0.000 2.990 Y
0.000 0.000 9.015 Y
0.000 0.000 15.039 Y
0.000 0.000 21.064 Y
0.000 0.000 6.060 Cu
0.000 0.000 17.994 Cu
0.000 0.000 12.027 Pt
```

Summary:
magnetic moment = 0.00 μB/f.u.
N(E_F) = 7.7 states/eV/cell
SG = R-3m (166)


We find version B to be the most stable, with the next structure 22.8 kJ/mol of atoms higher.


Version A
Entry from the Alexandria database: an optimized crystal structure of Zn2Cu3Pt (GGA-PBE).

Geometry as POSCAR:
```
Zn2Cu3Pt
1.0
7.573 0.000 0.000
0.000 3.660 0.000
0.000 0.000 11.590
Zn Cu Pt
8 12 4
Cartesian
0.007 0.915 2.835 Zn
1.870 2.745 10.727 Zn
1.916 0.915 4.932 Zn
3.780 2.745 8.630 Zn
3.793 0.915 2.960 Zn
5.657 2.745 6.658 Zn
5.703 0.915 0.863 Zn
7.566 2.745 8.755 Zn
0.013 0.915 10.611 Cu
1.844 0.915 0.959 Cu
1.881 0.915 8.652 Cu
1.906 2.745 2.857 Cu
1.943 2.745 6.754 Cu
3.774 2.745 4.816 Cu
3.799 0.915 6.774 Cu
5.630 0.915 4.836 Cu
5.667 0.915 8.733 Cu
5.692 2.745 2.938 Cu
5.729 2.745 10.631 Cu
7.560 2.745 0.979 Cu
0.041 2.745 4.703 Pt
3.745 0.915 10.498 Pt
3.828 2.745 1.092 Pt
7.532 0.915 6.887 Pt
```

Summary:
magnetic moment = 0.00 μB/f.u.
N(E_F) = 6.7 states/eV/cell
SG = Pnma (62)


Version B
Entry from the Alexandria database: an optimized crystal structure of Zn2Cu3Pt (GGA-PBE).

Geometry as POSCAR:
```
Zn2Cu3Pt
1.0
3.393 -3.700 0.000
3.393 3.700 0.000
-1.213 0.000 6.463
Zn Cu Pt
4 6 2
Cartesian
1.487 1.869 5.656 Zn
3.479 1.869 4.038 Zn
2.094 -1.869 2.425 Zn
4.086 -1.869 0.806 Zn
1.169 0.649 3.221 Cu
0.563 -0.649 6.453 Cu
3.090 0.508 1.616 Cu
2.483 -0.508 4.847 Cu
5.010 0.649 0.010 Cu
4.404 -0.649 3.242 Cu
3.090 3.036 1.616 Pt
2.483 -3.036 4.847 Pt
```

Summary:
magnetic moment = 0.00 μB/f.u.
N(E_F) = 3.9 states/eV/cell
SG = C2/c (15)


We find version A to be the most stable, with the next structure 6.2 kJ/mol of atoms higher.


Version A
Entry from the Alexandria database: an optimized crystal structure of ZnCu4Pt3 (GGA-PBE).

Geometry as POSCAR:
```
ZnCu4Pt3
1.0
8.612 -1.386 0.000
8.612 1.386 0.000
-0.361 0.000 4.630
Zn Cu Pt
1 4 3
Cartesian
0.000 0.000 0.000 Zn
1.998 0.000 1.731 Cu
6.431 0.000 0.575 Cu
10.433 0.000 4.055 Cu
14.866 0.000 2.899 Cu
4.051 0.000 3.471 Pt
8.432 0.000 2.315 Pt
12.813 0.000 1.159 Pt
```

Summary:
magnetic moment = 0.00 μB/f.u.
N(E_F) = 3.7 states/eV/cell
SG = C2/m (12)


Version B
Entry from the Alexandria database: an optimized crystal structure of ZnCu4Pt3 (GGA-PBE).

Geometry as POSCAR:
```
ZnCu4Pt3
1.0
-1.857 1.947 7.555
1.857 -1.947 7.555
1.857 1.947 -7.555
Zn Cu Pt
1 4 3
Cartesian
0.000 0.000 0.000 Zn
0.000 0.000 3.790 Cu
1.857 0.000 5.566 Cu
0.000 1.947 1.989 Cu
0.000 0.000 11.321 Cu
1.857 0.000 1.975 Pt
0.000 0.000 7.555 Pt
0.000 1.947 5.580 Pt
```

Summary:
magnetic moment = 0.00 μB/f.u.
N(E_F) = 2.1 states/eV/cell
SG = Immm (71)


We find version B to be the most stable, with the next structure 3.5 kJ/mol of atoms higher.


Version A
Entry from the Alexandria database: an optimized crystal structure of Zn2Cu4Pt (GGA-PBE).

Geometry as POSCAR:
```
Zn2Cu4Pt
1.0
4.422 0.000 0.000
0.000 9.101 0.000
0.000 0.000 9.526
Zn Cu Pt
8 16 4
Cartesian
0.060 0.424 1.508 Zn
0.060 4.127 6.271 Zn
2.151 4.974 1.508 Zn
2.151 8.677 6.271 Zn
2.271 0.424 3.254 Zn
2.271 4.127 8.017 Zn
4.362 4.974 3.254 Zn
4.362 8.677 8.017 Zn
0.746 6.626 5.314 Cu
0.746 7.025 0.551 Cu
0.791 6.268 7.718 Cu
0.791 7.383 2.955 Cu
1.419 1.718 7.718 Cu
1.419 2.833 2.955 Cu
1.465 2.076 5.314 Cu
1.465 2.475 0.551 Cu
2.957 6.626 8.975 Cu
2.957 7.025 4.212 Cu
3.002 6.268 6.571 Cu
3.002 7.383 1.808 Cu
3.630 1.718 6.571 Cu
3.630 2.833 1.808 Cu
3.675 2.076 8.975 Cu
3.675 2.475 4.212 Cu
0.000 0.000 4.763 Pt
0.000 4.551 0.000 Pt
2.211 0.000 0.000 Pt
2.211 4.551 4.763 Pt
```

Summary:
magnetic moment = 0.00 μB/f.u.
N(E_F) = 9.9 states/eV/cell
SG = Pbca (61)


Version B
Entry from the Alexandria database: an optimized crystal structure of Zn2Cu4Pt (GGA-PBE).

Geometry as POSCAR:
```
Zn2Cu4Pt
1.0
-2.348 2.348 6.118
2.348 -2.348 6.118
2.348 2.348 -6.118
Zn Cu Pt
2 4 1
Cartesian
0.000 0.000 1.296 Zn
0.000 0.000 10.941 Zn
2.348 0.000 0.000 Cu
0.000 0.000 3.651 Cu
0.000 2.348 0.000 Cu
0.000 0.000 8.586 Cu
0.000 0.000 6.118 Pt
```

Summary:
magnetic moment = 0.00 μB/f.u.
N(E_F) = 2.8 states/eV/cell
SG = I4/mmm (139)


Version C
Entry from the Alexandria database: an optimized crystal structure of Zn2Cu4Pt (GGA-PBE).

Geometry as POSCAR:
```
Zn2Cu4Pt
1.0
4.807 0.000 0.000
2.357 4.408 0.000
2.357 -0.003 4.413
Zn Cu Pt
2 4 1
Cartesian
1.202 0.017 0.017 Zn
8.319 4.388 4.396 Zn
4.749 2.202 3.946 Cu
4.749 3.929 2.207 Cu
4.772 0.476 2.206 Cu
4.773 2.203 0.467 Cu
2.357 2.203 2.207 Pt
```

Summary:
magnetic moment = 0.00 μB/f.u.
N(E_F) = 3.0 states/eV/cell
SG = P-1 (2)


We find version A to be the most stable, with the next structure 7.7 kJ/mol of atoms higher.